Density functional theory data (SCAN) for a crystal of CuSbSe2Br relaxed with PBEsol.

Calculated volume   29.63 Å³/atom
Formation energy without anion corrections   0.60 eV/atom
DFT total energy   -109.078 eV/cell

Lattice parameters (Å, degrees): 5.2513 5.2513 5.3733 90.00 90.00 90.00
Fractional positions:
Se: 0.0000 0.5000 0.0000
Se: 0.5000 0.0000 0.0000
Cu: 0.5000 0.5000 0.5000
Br: 0.0000 0.0000 0.5000
Sb: 0.0000 0.0000 0.0000